DFT (PBE) results for ScHgTe after structural relaxation.

Energy relative to the lowest polymorph listed for this composition = 0.062 eV per atom
Spin magnetization = 0.708 Bohr magnetons per cell
D(E_F) = 1.312 states/eV per atom
Formation energy without anion corrections = -0.47 eV per atom
SG = F-43m, No. 216

Lattice parameters (Å, degrees): 4.9434 4.9434 4.9434 60.00 60.00 60.00
Closest atoms and distances in Å follow each position.
Element x y z (fractional)
Sc1 0.0000 0.0000 0.0000  4 Hg 3.03, 4 Te 3.03
Hg1 0.2500 0.2500 0.2500  4 Sc 3.03
Te1 0.7500 0.7500 0.7500  4 Sc 3.03